# 1
This record from Alexandria describes a relaxed structure of KZnAgAu. The functional is PBE-GGA.

a = 4.6712 Å, b = 4.6169 Å, c = 6.5030 Å
α = 110.84°, β = 90.00°, γ = 120.39°
Fractional coordinates of all 4 atoms:
K (0.6184, 0.2369, 0.4984)
Zn (0.1121, 0.2242, 0.9774)
Ag (0.8074, 0.6148, 0.0626)
Au (0.4284, 0.8568, 0.9289)

* total magnetic moment: 0.00 μB per cell
* theoretical density: 6.2 g/cm3
* volume: 27.6 Å³ per atom
* final energy: -2.28 eV per atom

***

# 2
This record from Alexandria describes a relaxed structure of KZn4Ag2Au. The functional is PBE-GGA.

a = 4.4370 Å, b = 4.4370 Å, c = 10.4798 Å
α = 77.78°, β = 77.78°, γ = 60.00°
Fractional coordinates of all 8 atoms:
K (0.0000, 0.0000, 0.0000)
Zn (0.4120, 0.4120, 0.7639)
Zn (0.8640, 0.8640, 0.4080)
Zn (0.1360, 0.1360, 0.5920)
Zn (0.5880, 0.5880, 0.2361)
Ag (0.7644, 0.7644, 0.7068)
Ag (0.2356, 0.2356, 0.2932)
Au (0.5000, 0.5000, 0.5000)

* total magnetic moment: 0.00 μB per cell
* theoretical density: 6.8 g/cm3
* volume: 21.7 Å³ per atom
* final energy: -1.91 eV per atom

***

# 3
This record from Alexandria describes a relaxed structure of KZn4AgAu2. The functional is PBE-GGA.

a = 4.7526 Å, b = 4.7526 Å, c = 8.0330 Å
α = 72.79°, β = 72.79°, γ = 60.00°
Fractional coordinates of all 8 atoms:
K (0.0000, 0.0000, 0.0000)
Zn (0.3835, 0.3835, 0.8496)
Zn (0.8610, 0.8610, 0.4169)
Zn (0.1390, 0.1390, 0.5831)
Zn (0.6165, 0.6165, 0.1504)
Ag (0.5000, 0.5000, 0.5000)
Au (0.7441, 0.7441, 0.7676)
Au (0.2559, 0.2559, 0.2324)

* total magnetic moment: 0.00 μB per cell
* theoretical density: 9.0 g/cm3
* volume: 18.5 Å³ per atom
* final energy: -1.94 eV per atom

***

# 4
This record from Alexandria describes a relaxed structure of K2Zn3AgAu4. The functional is PBE-GGA.

a = 4.6545 Å, b = 4.6545 Å, c = 10.6863 Å
α = 90.00°, β = 90.00°, γ = 90.00°
Fractional coordinates of all 10 atoms:
K (0.5000, 0.0000, 0.2478)
K (0.0000, 0.5000, 0.7522)
Zn (0.0000, 0.0000, 0.5000)
Zn (0.5000, 0.0000, 0.8828)
Zn (0.0000, 0.5000, 0.1172)
Ag (0.5000, 0.5000, 0.5000)
Au (0.5000, 0.5000, 0.0000)
Au (0.0000, 0.0000, 0.0000)
Au (0.5000, 0.0000, 0.6412)
Au (0.0000, 0.5000, 0.3588)

* total magnetic moment: 0.00 μB per cell
* theoretical density: 8.4 g/cm3
* volume: 23.2 Å³ per atom
* final energy: -2.40 eV per atom

***

What did the second record say?
This record from Alexandria describes a relaxed structure of KZn4Ag2Au. The functional is PBE-GGA.

a = 4.4370 Å, b = 4.4370 Å, c = 10.4798 Å
α = 77.78°, β = 77.78°, γ = 60.00°
Fractional coordinates of all 8 atoms:
K (0.0000, 0.0000, 0.0000)
Zn (0.4120, 0.4120, 0.7639)
Zn (0.8640, 0.8640, 0.4080)
Zn (0.1360, 0.1360, 0.5920)
Zn (0.5880, 0.5880, 0.2361)
Ag (0.7644, 0.7644, 0.7068)
Ag (0.2356, 0.2356, 0.2932)
Au (0.5000, 0.5000, 0.5000)

* total magnetic moment: 0.00 μB per cell
* theoretical density: 6.8 g/cm3
* volume: 21.7 Å³ per atom
* final energy: -1.91 eV per atom